PBE-GGA HoHfTiN3, relaxed; E_form (uncorrected) = -1.436 eV per atom; density = 8.36 Mg/m³
1.0
-2.057 -1.068 -2.158
4.724 -3.748 -2.649
-2.369 -5.957 5.207
Ho Hf Ti N
2 2 2 6
direct
0.750 0.860 0.811
0.250 0.140 0.189
0.250 0.639 0.128
0.750 0.361 0.872
0.250 0.156 0.571
0.750 0.844 0.429
0.250 0.847 0.575
0.750 0.863 0.149
0.750 0.400 0.125
0.750 0.153 0.425
0.250 0.600 0.875
0.250 0.137 0.851